VASP calculation (PBE) on a geometry-optimized YFeBr2 structure.

For the total magnetization, the calculation gives 10.31 Bohr magnetons per cell. The density is 4.5 g/cm³. The calculation puts the uncorrected formation energy at -0.223 eV/atom. The energy above the most stable polymorph in this dataset is 0.3625 eV per atom.

The space group is R-3m (No. 166, hexagonal axes) and the conventional cell measures 3.6134, 3.6134 and 29.5529 Å, with angles of 90.00, 90.00 and 120.00 degrees. The inequivalent atoms are Y at (0.0000, 0.0000, 0.0000), Fe at (0.0000, 0.0000, 0.5000) and Br at (0.0000, 0.0000, 0.2665).



VASP calculation (PBE) on a geometry-optimized SmDy6Th structure.

The value obtained for the formation energy is 27 meV per atom. For the total magnetization, the calculation gives 0.00 Bohr magnetons per cell. The density is 8.9 g/cm³. The energy above the most stable polymorph in this dataset is 0.0000 eV per atom.

The space group is P4/mmm (No. 123) and the conventional cell measures 5.032, 5.032 and 10.036 Å, with angles of 90.00, 90.00 and 90.00 degrees. The inequivalent atoms are Sm at (0.000, 0.000, 0.000), Dy at (0.000, 0.500, 0.253), Dy at (0.500, 0.500, 0.000), Dy at (0.500, 0.500, 0.500) and Th at (0.000, 0.000, 0.500).